Below is crystalline GaIrPd at its relaxed geometry, with properties calculated at the PBE level.

Summary:
As for the energy relative to the elements: -174 meV/atom. The value obtained for the total DFT energy (no corrections) is -5.87 eV per atom. The symmetry is P3m1, No. 156. For the magnetic moment, the calculation gives 0.0 μB per cell. The value obtained for the energy above the most stable polymorph in this dataset is 9.4 kJ per mole of atoms.

a b c (Å): 2.834 4.285 4.285
angles (deg): 120.00 90.00 90.00
Fractional coordinates of all 3 atoms:
Ir1 0.412 0.333 0.667
Ga1 0.655 0.667 0.333
Pd1 0.934 0.000 0.000